Record 1
Compound: SbPtOF2
Source: the Alexandria database
Functional: PBE
Structure: optimized geometry

POSCAR file:
```
SbPtOF2
1.0
4.3744 0.0000 0.0000
0.0000 4.3744 0.0000
0.0000 0.0000 4.0437
Sb Pt O F
1 1 1 2
Direct
0.0000 0.0000 0.0000 Sb
0.5000 0.5000 0.5000 Pt
0.5000 0.5000 0.0000 O
0.0000 0.5000 0.5000 F
0.5000 0.0000 0.5000 F
```

Properties
energy above the lowest structure with this stoichiometry	0.151	eV/atom

=====

Record 2
Compound: SbPtOF2
Source: the Alexandria database
Functional: PBE
Structure: optimized geometry

POSCAR file:
```
SbPtOF2
1.0
4.2722 0.0000 0.0000
0.0000 4.2722 0.0000
0.0000 0.0000 4.1074
Sb Pt O F
1 1 1 2
Direct
0.0000 0.0000 0.0000 Sb
0.5000 0.5000 0.5000 Pt
0.0000 0.0000 0.5000 O
0.0000 0.5000 0.0000 F
0.5000 0.0000 0.0000 F
```

Properties
energy above the lowest structure with this stoichiometry	0.000	eV/atom

=====

Record 3
Compound: PtSeO2F
Source: the Alexandria database
Functional: PBE
Structure: optimized geometry

POSCAR file:
```
PtSeO2F
1.0
4.0214 0.0000 0.0000
0.0000 4.0214 0.0000
0.0000 0.0000 4.2296
Pt Se O F
1 1 2 1
Direct
0.0000 0.0000 0.0000 Pt
0.5000 0.5000 0.5000 Se
0.0000 0.5000 0.0000 O
0.5000 0.0000 0.0000 O
0.0000 0.0000 0.5000 F
```

Properties
energy	-4.078	eV per atom

=====

Number 1: Fermi-level density of states 0.560 states/eV per atom. Number 2: Fermi-level density of states 0.788 states/eV per atom. Number 3: Fermi-level density of states 1.060 states/eV per atom.